Entry from Alexandria via LeMat-Bulk: FeI3O after structural relaxation (PBE with a Hubbard U).

Geometry as CIF:
```
data_FeI3O
_chemical_formula_sum 'Fe1 I3 O1'
_symmetry_space_group_name_H-M 'P m -3 m'
_symmetry_Int_Tables_number 221
_symmetry_space_group_name_Hall '-P 4 2 3'
_cell_length_a 5.108
_cell_length_b 5.108
_cell_length_c 5.108
_cell_angle_alpha 90.00
_cell_angle_beta 90.00
_cell_angle_gamma 90.00
loop_
_atom_site_label
_atom_site_fract_x
_atom_site_fract_y
_atom_site_fract_z
_atom_site_occupancy
Fe1 0.000 0.000 0.000 1
I1 0.000 0.500 0.500 1
O1 0.500 0.500 0.500 1
```

Calculated values
Total magnetic moment: 4.043 μB/cell
Energy above the most stable polymorph in this dataset: 0 kJ/mol of formula units
Mass density: 5.638 g/cm3